Record 1
Entry from Alexandria: an optimized crystal structure of BPtO (PBE).

Properties
Energy above the lowest structure with this stoichiometry: 0.0 kJ per mole of atoms
Uncorrected formation energy: -0.741 eV per atom
Symmetry: Fmm2 (42)

Cell lengths 2.477, 5.097, 12.921 Å; angles 90.00, 90.00, 90.00 degrees
Element x y z (fractional)
B (0.000, 0.000, 0.000)
B (0.000, 0.500, 0.500)
B (0.500, 0.000, 0.500)
B (0.500, 0.500, 0.000)
Pt (0.000, 0.000, 0.650)
Pt (0.000, 0.500, 0.150)
Pt (0.500, 0.000, 0.150)
Pt (0.500, 0.500, 0.650)
O (0.000, 0.000, 0.444)
O (0.000, 0.500, 0.944)
O (0.500, 0.000, 0.944)
O (0.500, 0.500, 0.444)


Record 2
Entry from Alexandria: an optimized crystal structure of LuAgAu4 (PBE).

Properties
ΔE_f: -0.3456 eV per atom
Symmetry: F-43m (216)

Cell lengths 5.512, 5.512, 5.512 Å; angles 60.00, 60.00, 60.00 degrees
Element x y z (fractional)
Lu (0.000, 0.000, 0.000)
Ag (0.250, 0.250, 0.250)
Au (0.125, 0.625, 0.625)
Au (0.625, 0.125, 0.625)
Au (0.625, 0.625, 0.125)
Au (0.625, 0.625, 0.625)


Record 3
Entry from Alexandria: an optimized crystal structure of AcInAg (PBE).

Properties
Energy above the lowest structure with this stoichiometry: 17.6 kJ per mole of atoms
ΔE_f: -0.2157 eV per atom
Symmetry: I4mm (107)

Cell lengths 3.730, 3.730, 12.141 Å; angles 90.00, 90.00, 90.00 degrees
Element x y z (fractional)
Ac (0.000, 0.000, 0.000)
Ac (0.500, 0.500, 0.500)
In (0.000, 0.000, 0.698)
In (0.500, 0.500, 0.198)
Ag (0.000, 0.000, 0.319)
Ag (0.500, 0.500, 0.819)


Record 4
Entry from Alexandria: an optimized crystal structure of NaGe3Mo (PBE).

Properties
Energy above the lowest structure with this stoichiometry: 0.0 kJ per mole of atoms
ΔE_f: 0.1235 eV per atom
Symmetry: Pm-3m (221)

Cell lengths 4.940, 4.940, 4.940 Å; angles 90.00, 90.00, 90.00 degrees
Element x y z (fractional)
Na (0.000, 0.000, 0.000)
Ge (0.000, 0.500, 0.500)
Ge (0.500, 0.000, 0.500)
Ge (0.500, 0.500, 0.000)
Mo (0.500, 0.500, 0.500)


The records above yield calculated volume values of 163.2, 118.4, 168.9, 120.6 Å³ per cell, respectively.